Entry 1:
Computed, not measured: crystalline ZnSbBr at its relaxed geometry at the PBE-GGA level of DFT.

```
3
Lattice="5.0193 0.0000 0.0000 2.5096 4.3468 0.0000 2.5096 1.4489 4.0982" Properties=species:S:1:pos:R:3 pbc="T T T"
Br 5.0193 2.8979 2.0491
Sb 7.5289 4.3468 3.0737
Zn 0.0000 0.0000 0.0000
```

Output
As for the volume: 89.4 Å³/cell. As for the space-group type: F-43m, No. 216. For the formation energy without anion corrections, the calculation gives 0.292 eV per atom. The energy above the most stable polymorph in this dataset comes out at 480.9 meV per atom. The value obtained for the electronic total energy is -2.06 eV/atom.

=====

Entry 2:
Computed, not measured: crystalline ZnSbBr2 at its relaxed geometry at the PBE-GGA level of DFT.

```
4
Lattice="-0.5528 -2.5544 -6.8983 -3.1126 -6.0010 -2.9523 -0.6654 5.7417 4.5834" Properties=species:S:1:pos:R:3 pbc="T T T"
Br 0.0000 0.0000 0.0000
Br -2.8054 -2.2686 -1.6471
Sb -1.8327 -4.2777 -4.9253
Zn -1.5255 -0.5452 -3.6201
```

Output
As for the volume: 115.2 Å³/cell. As for the space-group type: I-4m2, No. 119. For the formation energy without anion corrections, the calculation gives 0.133 eV per atom. The value obtained for the electronic total energy is -2.05 eV/atom.

=====

Entry 3:
Computed, not measured: crystalline ZnSb2Br at its relaxed geometry at the PBE-GGA level of DFT.

```
4
Lattice="-4.7779 -2.1260 4.1837 -5.0030 -4.1998 -1.4774 6.5586 1.3103 0.3453" Properties=species:S:1:pos:R:3 pbc="T T T"
Br -1.6675 -3.0262 0.1105
Sb -9.2513 -5.9832 2.5597
Sb -5.4202 -3.5055 1.4997
Zn -1.5549 -1.9893 2.9411
```

Output
As for the volume: 102.4 Å³/cell. As for the space-group type: Immm, No. 71. For the formation energy without anion corrections, the calculation gives 0.027 eV per atom. The energy above the most stable polymorph in this dataset comes out at 185.3 meV per atom. The value obtained for the electronic total energy is -2.77 eV/atom.

=====

Entry 4:
Computed, not measured: crystalline Zn2SbBr at its relaxed geometry at the PBE-GGA level of DFT.

```
4
Lattice="1.3433 -2.3873 4.2207 -2.6698 0.6479 4.2155 -2.8402 -3.7523 1.7809" Properties=species:S:1:pos:R:3 pbc="T T T"
Sb -2.0834 -2.7459 5.1086
Zn -1.0417 -1.3729 2.5543
Zn -3.1251 -4.1188 7.6628
Br 0.0000 0.0000 0.0000
```

Output
As for the volume: 90.1 Å³/cell. As for the space-group type: Fm-3m, No. 225. For the formation energy without anion corrections, the calculation gives 0.212 eV per atom. The energy above the most stable polymorph in this dataset comes out at 500.3 meV per atom. The value obtained for the electronic total energy is -1.87 eV/atom.

=====

Entry 5:
Computed, not measured: crystalline Zn2SbBr at its relaxed geometry at the PBE-GGA level of DFT.

```
8
Lattice="6.1051 0.0000 0.0000 0.0000 6.1051 0.0000 3.0525 3.0525 6.3838" Properties=species:S:1:pos:R:3 pbc="T T T"
Sb 0.0000 0.0000 0.0000
Sb 6.1051 3.0525 3.1919
Zn 4.7635 1.5263 1.5960
Zn 1.3416 4.5788 1.5960
Zn 4.5788 4.3942 4.7879
Zn 7.6314 7.8160 4.7879
Br 3.0525 3.0525 0.0000
Br 3.0525 6.1051 3.1919
```

Output
As for the volume: 237.9 Å³/cell. As for the space-group type: I-42d, No. 122. For the formation energy without anion corrections, the calculation gives -0.288 eV per atom. The energy above the most stable polymorph in this dataset comes out at 0.0 meV per atom. The value obtained for the electronic total energy is -2.37 eV/atom.

=====

Entry 6:
Computed, not measured: crystalline ZnSbBr at its relaxed geometry at the PBE-GGA level of DFT.

```
3
Lattice="8.7903 0.0203 -0.0125 7.5260 3.5319 -0.1750 1.2642 -1.7162 3.0680" Properties=species:S:1:pos:R:3 pbc="T T T"
Br 15.5884 3.2974 -0.0301
Sb 11.9024 2.0073 0.7671
Zn 6.4061 0.0835 1.9559
```

Output
As for the volume: 92.4 Å³/cell. As for the space-group type: Fmm2, No. 42. For the formation energy without anion corrections, the calculation gives -0.072 eV per atom. The energy above the most stable polymorph in this dataset comes out at 116.2 meV per atom. The value obtained for the electronic total energy is -2.43 eV/atom.

=====

Entry 7:
Computed, not measured: crystalline ZnSb2Br at its relaxed geometry at the PBE-GGA level of DFT.

```
4
Lattice="3.3716 0.0000 0.0000 0.0000 5.7733 0.0000 0.0000 0.0000 5.2100" Properties=species:S:1:pos:R:3 pbc="T T T"
Br 0.0000 2.8867 2.6050
Sb 0.0000 0.0000 0.0000
Sb 1.6858 2.8867 0.0000
Zn 1.6858 0.0000 2.6050
```

Output
As for the volume: 101.4 Å³/cell. As for the space-group type: Pmmm, No. 47. For the formation energy without anion corrections, the calculation gives 0.165 eV per atom. The energy above the most stable polymorph in this dataset comes out at 323.0 meV per atom. The value obtained for the electronic total energy is -2.63 eV/atom.

=====

Entry 8:
Computed, not measured: crystalline ZnSbBr3 at its relaxed geometry at the PBE-GGA level of DFT.

```
5
Lattice="-4.8632 -0.7338 -1.5122 1.6383 -3.1041 -3.7625 -0.3757 -4.0375 3.1675" Properties=species:S:1:pos:R:3 pbc="T T T"
Sb -1.8003 -3.9377 -1.0536
Zn 0.0000 0.0000 0.0000
Br 0.8192 -1.5521 -1.8812
Br -0.1879 -2.0188 1.5837
Br -2.4316 -0.3669 -0.7561
```

Output
As for the volume: 136.2 Å³/cell. As for the space-group type: Pm-3m, No. 221. For the formation energy without anion corrections, the calculation gives -0.083 eV per atom. The energy above the most stable polymorph in this dataset comes out at 99.3 meV per atom. The value obtained for the electronic total energy is -2.17 eV/atom.

=====

Entry 9:
Computed, not measured: crystalline ZnSbBr2 at its relaxed geometry at the PBE-GGA level of DFT.

```
4
Lattice="7.8297 0.1119 0.0133 5.0428 5.9905 -0.0133 -5.8873 -4.2092 2.9898" Properties=species:S:1:pos:R:3 pbc="T T T"
Br 11.6387 5.5175 0.0000
Br 1.9865 2.0326 1.4882
Sb 8.0813 3.8311 0.0000
Zn 4.5874 -0.3343 1.5016
```

Output
As for the volume: 138.3 Å³/cell. As for the space-group type: Imm2, No. 44. For the formation energy without anion corrections, the calculation gives -0.281 eV per atom. The value obtained for the electronic total energy is -2.47 eV/atom.

=====

Entry 10:
Computed, not measured: crystalline Zn2SbBr at its relaxed geometry at the PBE-GGA level of DFT.

```
4
Lattice="7.4272 0.0159 0.0365 -3.9078 4.2204 0.0195 -0.3884 1.3791 3.1623" Properties=species:S:1:pos:R:3 pbc="T T T"
Br -2.1481 2.7998 1.5909
Sb 1.7597 2.1182 0.0280
Zn 0.0000 0.0000 0.0000
Zn 3.5194 0.6975 1.5994
```

Output
As for the volume: 99.0 Å³/cell. As for the space-group type: C2/m, No. 12. For the formation energy without anion corrections, the calculation gives -0.053 eV per atom. The energy above the most stable polymorph in this dataset comes out at 234.6 meV per atom. The value obtained for the electronic total energy is -2.14 eV/atom.

=====

Entry 11:
Computed, not measured: crystalline Zn3SbBr9 at its relaxed geometry at the PBE-GGA level of DFT.

```
26
Lattice="-2.3938 -3.3630 8.5216 6.0502 -7.5011 3.9998 5.4154 5.0445 8.7727" Properties=species:S:1:pos:R:3 pbc="T T T"
Zn 5.0170 -3.4672 14.9909
Zn -1.0944 -2.7707 9.9523
Zn 7.8578 -6.2690 19.5585
Zn 3.9649 -2.4558 6.6224
Zn 3.9559 -0.1781 12.3801
Zn 4.6455 -5.9281 8.6687
Sb 3.0376 -3.7711 2.2035
Sb 1.6181 0.9533 8.5135
Br 2.1977 -0.8129 6.3347
Br 8.2843 -1.5441 11.4614
Br 5.9279 1.1922 12.6133
Br 6.2255 -5.1086 10.2975
Br 3.9736 2.3236 7.9855
Br 4.6058 -3.5071 4.4787
Br 3.1429 -7.6892 9.6586
Br 3.4121 -0.5923 9.9569
Br 5.6722 -7.9465 14.1225
Br 5.3017 -1.7483 16.6978
Br 7.2090 -4.2857 14.2146
Br 0.6112 -4.2727 10.9077
Br 3.0328 -4.2088 8.0340
Br 8.0020 -6.5099 17.1387
Br 3.8486 -2.5512 13.0400
Br 5.2784 -7.2613 6.6938
Br -1.3847 -3.1545 7.5490
Br 6.1329 -1.8754 7.5816
```

Output
As for the volume: 917.7 Å³/cell. As for the space-group type: Cc, No. 9. For the formation energy without anion corrections, the calculation gives -0.740 eV per atom. The value obtained for the electronic total energy is -2.51 eV/atom.

=====

Entry 12:
Computed, not measured: crystalline ZnSb2Br at its relaxed geometry at the PBE-GGA level of DFT.

```
4
Lattice="-3.5897 -1.7748 1.8503 2.4322 -1.3411 3.4323 -1.0692 4.9816 2.7041" Properties=species:S:1:pos:R:3 pbc="T T T"
Br -1.2475 1.5575 4.3324
Sb -0.1334 0.6215 0.3374
Sb -0.7128 -0.9337 2.9801
Zn -0.6678 3.1113 1.6888
```

Output
As for the volume: 112.3 Å³/cell. As for the space-group type: P4/mmm, No. 123. For the formation energy without anion corrections, the calculation gives -0.002 eV per atom. The energy above the most stable polymorph in this dataset comes out at 156.7 meV per atom. The value obtained for the electronic total energy is -2.80 eV/atom.

=====

Entry 13:
Computed, not measured: crystalline ZnSb2Br at its relaxed geometry at the PBE-GGA level of DFT.

```
4
Lattice="-3.1328 1.0986 4.8597 3.8732 -4.4137 0.3949 2.2762 2.0866 0.9957" Properties=species:S:1:pos:R:3 pbc="T T T"
Br 3.0747 -1.1636 0.6953
Sb 0.0000 0.0000 0.0000
Sb 0.3702 -1.6576 2.6273
Zn -0.4283 1.5926 2.9277
```

Output
As for the volume: 101.2 Å³/cell. As for the space-group type: Cmmm, No. 65. For the formation energy without anion corrections, the calculation gives 0.284 eV per atom. The energy above the most stable polymorph in this dataset comes out at 442.0 meV per atom. The value obtained for the electronic total energy is -2.51 eV/atom.

=====

Entry 14:
Computed, not measured: crystalline ZnSbBr2 at its relaxed geometry at the PBE-GGA level of DFT.

```
4
Lattice="3.5383 0.0000 0.0000 0.0000 3.5383 0.0000 0.0000 0.0000 8.7827" Properties=species:S:1:pos:R:3 pbc="T T T"
Br 0.0000 0.0000 7.9346
Br 1.7691 1.7691 2.7949
Sb 0.0000 0.0000 4.7346
Zn 1.7691 1.7691 6.4926
```

Output
As for the volume: 110.0 Å³/cell. As for the space-group type: P4mm, No. 99. For the formation energy without anion corrections, the calculation gives -0.129 eV per atom. The value obtained for the electronic total energy is -2.31 eV/atom.

=====

Entry 15:
Computed, not measured: crystalline ZnSb2Br at its relaxed geometry at the PBE-GGA level of DFT.

```
4
Lattice="-2.6409 2.1412 -0.0742 -0.1363 -0.2854 -3.3859 -5.7739 -7.0927 0.8305" Properties=species:S:1:pos:R:3 pbc="T T T"
Br -5.2500 -3.8155 -1.1746
Sb -0.2562 -0.3147 0.0368
Sb -2.9967 -1.0475 -1.4987
Zn -2.9352 -3.6056 0.4222
```

Output
As for the volume: 106.2 Å³/cell. As for the space-group type: P4mm, No. 99. For the formation energy without anion corrections, the calculation gives 0.084 eV per atom. The energy above the most stable polymorph in this dataset comes out at 242.2 meV per atom. The value obtained for the electronic total energy is -2.71 eV/atom.

=====

Entry 16:
Computed, not measured: crystalline ZnSb2Br at its relaxed geometry at the PBE-GGA level of DFT.

```
4
Lattice="6.6635 0.0042 0.0006 3.7919 5.4794 -0.0006 -4.6824 -3.7814 2.8597" Properties=species:S:1:pos:R:3 pbc="T T T"
Br 2.1374 2.2036 1.4296
Sb 10.1483 5.3225 0.0000
Sb 3.6131 -0.5132 1.4302
Zn 5.5572 2.9146 0.0000
```

Output
As for the volume: 104.4 Å³/cell. As for the space-group type: Imm2, No. 44. For the formation energy without anion corrections, the calculation gives 0.150 eV per atom. The energy above the most stable polymorph in this dataset comes out at 308.2 meV per atom. The value obtained for the electronic total energy is -2.65 eV/atom.

=====

Entry 17:
Computed, not measured: crystalline ZnSbBr5 at its relaxed geometry at the PBE-GGA level of DFT.

```
14
Lattice="6.9561 0.1189 -2.6883 -0.9552 6.8915 -2.6877 -0.0624 -0.0733 10.7306" Properties=species:S:1:pos:R:3 pbc="T T T"
Zn 5.4745 4.3927 -1.3493
Zn 0.4639 2.5445 6.7039
Sb 3.4780 0.0595 -1.3441
Sb 3.4468 0.0228 4.0212
Br 4.4289 4.9098 -3.4735
Br 0.9822 4.5229 1.1852
Br 2.7753 0.6277 1.3383
Br 4.8024 5.3466 0.7746
Br 1.1361 1.5906 4.5800
Br 5.6074 1.9200 -1.1942
Br 0.3310 5.0172 6.5488
Br 3.1632 6.3094 4.0163
Br 4.9562 2.4143 4.1694
Br 1.5096 2.0274 8.8281
```

Output
As for the volume: 512.9 Å³/cell. As for the space-group type: C2/c, No. 15. For the formation energy without anion corrections, the calculation gives -0.666 eV per atom. The value obtained for the electronic total energy is -2.63 eV/atom.

=====

Entry 18:
Computed, not measured: crystalline ZnSbBr2 at its relaxed geometry at the PBE-GGA level of DFT.

```
4
Lattice="3.6514 -0.0601 0.0000 -1.9469 3.0897 0.0000 0.0000 0.0000 12.5818" Properties=species:S:1:pos:R:3 pbc="T T T"
Br 0.0000 0.0000 11.1995
Br 0.0000 0.0000 7.6731
Sb 0.8523 1.5148 3.1454
Zn 0.8523 1.5148 9.4363
```

Output
As for the volume: 140.5 Å³/cell. As for the space-group type: Cmmm, No. 65. For the formation energy without anion corrections, the calculation gives -0.143 eV per atom. The value obtained for the electronic total energy is -2.33 eV/atom.

=====

Entry 19:
Computed, not measured: crystalline ZnSbBr2 at its relaxed geometry at the PBE-GGA level of DFT.

```
4
Lattice="-2.6891 2.8049 -1.0014 -2.4849 -2.5196 -0.3846 -2.5865 0.9116 9.4988" Properties=species:S:1:pos:R:3 pbc="T T T"
Br -0.7771 -0.6186 0.3541
Br -1.7586 -0.1854 4.2030
Sb -2.6124 1.0004 1.7778
Zn -5.1481 0.1964 6.3350
```

Output
As for the volume: 141.2 Å³/cell. As for the space-group type: P2/m, No. 10. For the formation energy without anion corrections, the calculation gives -0.075 eV per atom. The value obtained for the electronic total energy is -2.26 eV/atom.

=====

Entry 20:
Computed, not measured: crystalline ZnSbBr2 at its relaxed geometry at the PBE-GGA level of DFT.

```
4
Lattice="2.0746 0.0000 9.8725 -1.0373 1.7967 9.8725 -1.0373 -1.7967 9.8725" Properties=species:S:1:pos:R:3 pbc="T T T"
Sb 0.0000 0.0000 14.8088
Zn 0.0000 0.0000 0.0000
Br 0.0000 0.0000 27.0859
Br 0.0000 0.0000 2.5317
```

Output
As for the volume: 110.4 Å³/cell. As for the space-group type: R-3m, No. 166. For the formation energy without anion corrections, the calculation gives 0.028 eV per atom. The value obtained for the electronic total energy is -2.16 eV/atom.